1.
Below is HfAl2Ag at its PBEsol-relaxed geometry, with properties calculated at the meta-GGA SCAN level.

Properties
The final energy is -27.305 eV/atom. The space-group type is I-42d. The value obtained for the energy relative to the elements is 81 meV per atom.

```
data_HfAl2Ag
_chemical_formula_sum 'Hf2 Al4 Ag2'
_cell_length_a 5.647
_cell_length_b 5.867
_cell_length_c 5.867
_cell_angle_alpha 76.61
_cell_angle_beta 61.23
_cell_angle_gamma 61.23
_symmetry_space_group_name_H-M 'P 1'
_symmetry_Int_Tables_number 1
loop_
_symmetry_equiv_pos_as_xyz
'x,y,z'
loop_
_atom_site_label
_atom_site_type_symbol
_atom_site_fract_x
_atom_site_fract_y
_atom_site_fract_z
Hf1 Hf 0.750 0.500 0.500
Hf2 Hf 0.000 0.000 0.000
Ag1 Ag 0.500 0.000 0.000
Ag2 Ag 0.250 0.500 0.500
Al1 Al 0.593 0.532 0.032
Al2 Al 0.875 0.968 0.532
Al3 Al 0.375 0.032 0.468
Al4 Al 0.157 0.468 0.968
```

---

2.
Below is CaReBr2 at its PBEsol-relaxed geometry, with properties calculated at the meta-GGA SCAN level.

Properties
The final energy is -29.958 eV/atom. The polymorph energy (0 for the lowest one) is 0.00 kJ/mol of atoms. The space-group type is P4mm.

```
data_CaReBr2
_chemical_formula_sum 'Ca1 Re1 Br2'
_cell_length_a 3.258
_cell_length_b 3.258
_cell_length_c 8.408
_cell_angle_alpha 90.00
_cell_angle_beta 90.00
_cell_angle_gamma 90.00
_symmetry_space_group_name_H-M 'P 1'
_symmetry_Int_Tables_number 1
loop_
_symmetry_equiv_pos_as_xyz
'x,y,z'
loop_
_atom_site_label
_atom_site_type_symbol
_atom_site_fract_x
_atom_site_fract_y
_atom_site_fract_z
Br1 Br 0.500 0.500 0.296
Br2 Br 0.000 0.000 0.919
Ca1 Ca 0.000 0.000 0.504
Re1 Re 0.500 0.500 0.781
```

---

3.
Below is YMgSc2Cl at its PBEsol-relaxed geometry, with properties calculated at the meta-GGA SCAN level.

Properties
The final energy is -14.329 eV/atom. The space-group type is P4/mmm.

```
data_YMgSc2Cl
_chemical_formula_sum 'Y1 Mg1 Sc2 Cl1'
_cell_length_a 4.808
_cell_length_b 4.808
_cell_length_c 5.094
_cell_angle_alpha 90.00
_cell_angle_beta 90.00
_cell_angle_gamma 90.00
_symmetry_space_group_name_H-M 'P 1'
_symmetry_Int_Tables_number 1
loop_
_symmetry_equiv_pos_as_xyz
'x,y,z'
loop_
_atom_site_label
_atom_site_type_symbol
_atom_site_fract_x
_atom_site_fract_y
_atom_site_fract_z
Mg1 Mg 0.500 0.500 0.500
Sc1 Sc 0.500 0.000 0.000
Sc2 Sc 0.000 0.500 0.000
Cl1 Cl 0.000 0.000 0.000
Y1 Y 0.000 0.000 0.500
```

---

4.
Below is Ag2SCl at its PBEsol-relaxed geometry, with properties calculated at the meta-GGA SCAN level.

Properties
The final energy is -20.252 eV/atom. The space-group type is I-42d.

```
data_Ag2SCl
_chemical_formula_sum 'Ag4 S2 Cl2'
_cell_length_a 5.725
_cell_length_b 5.725
_cell_length_c 7.024
_cell_angle_alpha 114.05
_cell_angle_beta 114.05
_cell_angle_gamma 90.00
_symmetry_space_group_name_H-M 'P 1'
_symmetry_Int_Tables_number 1
loop_
_symmetry_equiv_pos_as_xyz
'x,y,z'
loop_
_atom_site_label
_atom_site_type_symbol
_atom_site_fract_x
_atom_site_fract_y
_atom_site_fract_z
Cl1 Cl 0.000 0.000 0.000
Cl2 Cl 0.250 0.750 0.500
Ag1 Ag 0.125 0.159 0.750
Ag2 Ag 0.625 0.591 0.750
Ag3 Ag 0.841 0.375 0.250
Ag4 Ag 0.409 0.875 0.250
S1 S 0.500 0.500 0.000
S2 S 0.750 0.250 0.500
```